Computed, not measured: a crystal of Tl2MoPb relaxed with PBEsol at the meta-GGA SCAN level of DFT.

Results
calculated formation energy: 765 meV/atom
polymorph energy (0 for the lowest one): 9.8 meV/atom
calculated total energy: -252.32 eV/f.u.

abc: 6.078 10.826 3.335
angles: 90.00 122.89 90.00
Space group C2/m (No. 12)
Symmetry-distinct sites (fractional):
Tl 0.250 0.250 0.000 [4 per cell]
Mo 0.000 0.000 0.500 [2 per cell]
Pb 0.000 0.500 0.500 [2 per cell]